# 1
RbV2HgBr8 | the Alexandria database | PBE | optimized geometry; final energy = -0.266 Ry per atom; symmetry = R-3, No. 148; ΔE_f (raw) = -10.59 eV/f.u.; density = 3.28 Mg/m³
1.0
-5.5931 -4.9315 -0.2542
-2.0792 -2.9493 -6.5303
4.4807 -10.6812 -0.8648
Br Rb Hg V
8 1 1 2
Direct
0.1754 0.1754 0.4738
0.9500 0.5334 0.1855
0.6689 0.0500 0.8145
0.0500 0.4666 0.8145
0.5334 0.3311 0.1855
0.8246 0.8246 0.5262
0.3311 0.9500 0.1855
0.4666 0.6689 0.8145
0.0000 0.0000 0.0000
0.5000 0.5000 0.5000
0.7533 0.7533 0.7402
0.2467 0.2467 0.2598

=====

# 2
RbHgW2Br | the Alexandria database | PBE | optimized geometry; final energy = -0.203 Ry per atom; symmetry = P4/mmm, No. 123; ΔE_f (raw) = 15.03 eV/f.u.; density = 4.33 Mg/m³
1.0
-1.7781 3.5874 -5.2201
2.1166 -4.7102 -3.9579
-5.9614 -2.7798 0.1202
W Hg Br Rb
2 1 1 1
Direct
0.0000 0.0000 0.5000
0.5000 0.0000 0.0000
0.0000 0.5000 0.0000
0.5000 0.5000 0.5000
0.0000 0.0000 0.0000

=====

# 3
RbZn2HgBr8 | the Alexandria database | PBE | optimized geometry; final energy = -0.161 Ry per atom; symmetry = R-3, No. 148; ΔE_f (raw) = -9.07 eV/f.u.; density = 4.41 Mg/m³
1.0
-0.8662 3.7127 -5.5562
0.2695 -2.9092 -6.0720
-10.1583 -1.4707 -3.4851
Br Zn Hg Rb
8 2 1 1
Direct
0.6158 0.2908 0.1691
0.7092 0.0756 0.8309
0.3842 0.7092 0.8309
0.8266 0.8266 0.5202
0.0756 0.3842 0.8309
0.9244 0.6158 0.1691
0.1734 0.1734 0.4798
0.2908 0.9244 0.1691
0.2530 0.2530 0.2409
0.7470 0.7470 0.7591
0.0000 0.0000 0.0000
0.5000 0.5000 0.5000

=====

# 4
RbZnHg2Br | the Alexandria database | PBE | optimized geometry; final energy = -0.086 Ry per atom; symmetry = P4/mmm, No. 123; ΔE_f (raw) = -1.33 eV/f.u.; density = 2.89 Mg/m³
1.0
7.5942 0.0000 0.0000
0.0000 6.3024 0.0000
0.0000 0.0000 7.5942
Hg Br Rb Zn
2 1 1 1
Direct
0.5000 0.0000 0.0000
0.0000 0.0000 0.5000
0.0000 0.5000 0.0000
0.0000 0.0000 0.0000
0.5000 0.5000 0.5000

=====

Q: Number 4 is which compound?
A: RbZnHg2Br

=====

Q: The highest ΔE_f (raw) belongs to which entry?
A: RbHgW2Br